1.
! MgZrPt6 GGA-PBE optimized geometry; values from VASP
! Final energy: -0.2331 Ha/atom
! M_tot: 0.00 Bohr magnetons per cell
&SYSTEM
  ibrav = 0, nat = 8, ntyp = 3
/
ATOMIC_SPECIES
Mg 24.30 Mg.upf
Zr 91.22 Zr.upf
Pt 195.08 Pt.upf
CELL_PARAMETERS angstrom
5.140 0.000 0.000
0.426 5.126 0.000
0.423 0.424 5.119
ATOMIC_POSITIONS crystal
Mg 0.000 0.000 0.000
Zr 0.500 0.500 0.500
Pt 0.038 0.513 0.246
Pt 0.245 0.038 0.516
Pt 0.485 0.754 0.960
Pt 0.515 0.246 0.040
Pt 0.755 0.962 0.484
Pt 0.962 0.487 0.754



2.
! ZrCuGePt GGA-PBE optimized geometry; values from VASP
! Final energy: -0.2284 Ha/atom
! M_tot: 0.00 Bohr magnetons per cell
&SYSTEM
  ibrav = 0, nat = 4, ntyp = 4
/
ATOMIC_SPECIES
Zr 91.22 Zr.upf
Cu 63.55 Cu.upf
Ge 72.64 Ge.upf
Pt 195.08 Pt.upf
CELL_PARAMETERS angstrom
0.000 3.214 3.214
3.214 0.000 3.214
3.214 3.214 0.000
ATOMIC_POSITIONS crystal
Zr 0.000 0.000 0.000
Cu 0.500 0.500 0.500
Ge 0.250 0.250 0.250
Pt 0.750 0.750 0.750



What did the first record say?
! MgZrPt6 GGA-PBE optimized geometry; values from VASP
! Final energy: -0.2331 Ha/atom
! M_tot: 0.00 Bohr magnetons per cell
&SYSTEM
  ibrav = 0, nat = 8, ntyp = 3
/
ATOMIC_SPECIES
Mg 24.30 Mg.upf
Zr 91.22 Zr.upf
Pt 195.08 Pt.upf
CELL_PARAMETERS angstrom
5.140 0.000 0.000
0.426 5.126 0.000
0.423 0.424 5.119
ATOMIC_POSITIONS crystal
Mg 0.000 0.000 0.000
Zr 0.500 0.500 0.500
Pt 0.038 0.513 0.246
Pt 0.245 0.038 0.516
Pt 0.485 0.754 0.960
Pt 0.515 0.246 0.040
Pt 0.755 0.962 0.484
Pt 0.962 0.487 0.754



> What is the formula in the second record?

ZrCuGePt